# Sc2TeBr meta-GGA SCAN PBEsol geometry
data_Sc2TeBr
_chemical_formula_sum 'Sc2 Te1 Br1'
_symmetry_space_group_name_H-M 'P 4/m m m'
_symmetry_Int_Tables_number 123
_symmetry_space_group_name_Hall '-P 4 2'
_cell_length_a 4.9104
_cell_length_b 4.9104
_cell_length_c 3.5067
_cell_angle_alpha 90.00
_cell_angle_beta 90.00
_cell_angle_gamma 90.00
loop_
_atom_site_label
_atom_site_type_symbol
_atom_site_fract_x
_atom_site_fract_y
_atom_site_fract_z
Sc1 Sc 0.0000 0.5000 0.0000
Te1 Te 0.0000 0.0000 0.5000
Br1 Br 0.5000 0.5000 0.5000
# * M_tot: 0.000 μB/atom
# * total DFT energy (no corrections): -88.81 eV for the cell shown
# * density: 5.84 Mg/m³
# * ΔE to the lowest computed polymorph: 0.060 eV per atom